(1)
A relaxed YCdIN2 crystal, computed with PBE.

Structure (POSCAR):
```
YCdIN2
1.0
-1.380 -1.507 -3.887
-2.520 -2.960 2.042
-4.214 3.645 0.083
Y Cd N I
1 1 2 1
Cartesian
-4.057 -0.411 -0.881
0.000 0.000 0.000
-0.690 -0.753 -1.944
-1.260 -1.480 1.021
-2.107 1.823 0.042
```

Computed properties:
Space group: No. 123
E above lowest polymorph, eV/f.u.: 2.40


(2)
A relaxed Li3SeF crystal, computed with PBE.

Structure (POSCAR):
```
Li3SeF
1.0
-4.638 -0.489 0.665
-0.475 -1.526 -4.431
0.676 -4.430 1.453
Li Se F
3 1 1
Cartesian
-0.237 -0.763 -2.216
0.338 -2.215 0.727
-2.319 -0.245 0.333
0.000 0.000 0.000
-2.218 -3.223 -1.156
```

Computed properties:
Space group: No. 221
E above lowest polymorph, eV/f.u.: 2.57


(3)
A relaxed CuAg3S2 crystal, computed with PBE.

Structure (POSCAR):
```
CuAg3S2
1.0
8.593 -0.063 0.000
-0.388 8.585 0.000
-4.103 -4.261 6.234
Ag S Cu
12 8 4
Cartesian
-0.194 4.292 0.798
4.200 2.115 4.675
6.445 -0.047 1.558
4.103 4.261 2.319
1.477 2.684 3.117
2.148 -0.016 1.558
-0.194 4.292 5.436
5.774 2.652 0.000
4.394 -2.178 4.675
-1.865 5.901 3.117
0.000 0.000 3.915
2.432 5.870 0.000
-2.436 -0.313 4.696
4.323 6.707 1.538
0.027 6.739 1.579
2.242 4.605 4.655
2.436 0.313 4.696
-2.630 3.980 4.655
-0.415 1.846 1.579
3.882 1.815 1.538
-1.448 2.990 3.117
2.848 2.958 0.000
5.357 5.564 0.000
1.060 5.595 3.117
```

Computed properties:
Space group: No. 141


Formation energy (no corrections), record by record: 106.9 -133.1 -4.1 kJ/mol of atoms